Record 1
Density functional theory data (PBE) for KUAu2Se4 after structural relaxation.

a = 7.8808 Å, b = 7.8808 Å, c = 5.3391 Å
α = 109.77°, β = 109.77°, γ = 96.45°
Sites, in units of the cell vectors:
1 K 0.0000 0.0000 0.0000
2 U 0.4993 0.5007 0.5000
3 Au 0.3200 0.3210 0.8206
4 Au 0.6790 0.6800 0.1794
5 Se 0.1503 0.4557 0.1226
6 Se 0.4551 0.1518 0.4839
7 Se 0.5443 0.8497 0.8774
8 Se 0.8482 0.5449 0.5161

Results
Size of the total moment   1.000 μB per formula unit
Raw formation energy   -590 meV/atom

Record 2
Density functional theory data (PBE) for NdDyYHo after structural relaxation.

a = 11.7837 Å, b = 11.7837 Å, c = 11.7837 Å
α = 17.57°, β = 17.57°, γ = 17.57°
Sites, in units of the cell vectors:
1 Nd 0.0000 0.0000 0.0000
2 Dy 0.2493 0.2493 0.2493
3 Y 0.4192 0.4192 0.4192
4 Ho 0.8347 0.8347 0.8347

Results
Size of the total moment   0.000 μB per formula unit
ΔE to the lowest computed polymorph   0.000 eV/atom
Formation energy from the elements   19 meV per atom

Record 3
Density functional theory data (PBE) for Tl2CdTc after structural relaxation.

a = 3.1288 Å, b = 3.1288 Å, c = 9.4561 Å
α = 90.00°, β = 90.00°, γ = 90.00°
Sites, in units of the cell vectors:
1 Tl 0.0000 0.0000 0.2120
2 Tl 0.0000 0.0000 0.7880
3 Cd 0.5000 0.5000 0.5000
4 Tc 0.5000 0.5000 0.0000

Results
Size of the total moment   1.855 μB per formula unit
ΔE to the lowest computed polymorph   0.139 eV/atom
Formation energy from the elements   590 meV per atom

Record 4
Density functional theory data (PBE) for Nd2Tm3Se6 after structural relaxation.

a = 7.0530 Å, b = 7.0530 Å, c = 7.1467 Å
α = 99.52°, β = 99.52°, γ = 119.74°
Sites, in units of the cell vectors:
1 Nd 0.1648 0.8352 0.0000
2 Nd 0.8352 0.1648 0.0000
3 Tm 0.0000 0.0000 0.5000
4 Tm 0.3336 0.6664 0.5000
5 Tm 0.6664 0.3336 0.5000
6 Se 0.0859 0.4125 0.7368
7 Se 0.2621 0.2621 0.2603
8 Se 0.4125 0.0859 0.7368
9 Se 0.5875 0.9141 0.2632
10 Se 0.7379 0.7379 0.7397
11 Se 0.9141 0.5875 0.2632

Results
Size of the total moment   0.000 μB per formula unit
Raw formation energy   -1847 meV/atom